--- P ---
Computed, not measured: an optimized crystal structure of NaLiSn3 at the PBE level of DFT.

Cell: 6.3302 6.7946 12.2922 Å, 90.00 90.00 90.00°
Fractional coordinates of all 20 atoms:
Na 0.5000 0.0000 0.0000
Sn 0.5042 0.5634 0.8841
Na 0.0000 0.5000 0.5000
Sn 0.5042 0.5634 0.6159
Li 0.1165 0.6092 0.7500
Sn 0.4958 0.4366 0.3841
Sn 0.9958 0.0634 0.1159
Sn 0.4958 0.4366 0.1159
Sn 0.0042 0.9366 0.8841
Na 0.0000 0.5000 0.0000
Li 0.3835 0.1092 0.2500
Sn 0.0042 0.9366 0.6159
Li 0.8835 0.3908 0.2500
Sn 0.3109 0.2172 0.7500
Sn 0.1891 0.7172 0.2500
Li 0.6165 0.8908 0.7500
Sn 0.9958 0.0634 0.3841
Sn 0.6891 0.7828 0.2500
Na 0.5000 0.0000 0.5000
Sn 0.8109 0.2828 0.7500

Output
calculated volume = 26.44 Å³/atom
space-group type = Pnma (62)
crystal system = orthorhombic

***

--- Q ---
Computed, not measured: an optimized crystal structure of NaLiSn3 at the PBE level of DFT.

Cell: 5.4571 5.4571 5.4571 Å, 90.00 90.00 90.00°
Fractional coordinates of all 5 atoms:
Li 0.5000 0.5000 0.5000
Sn 0.0000 0.0000 0.5000
Sn 0.5000 0.0000 0.0000
Sn 0.0000 0.5000 0.0000
Na 0.0000 0.0000 0.0000

Output
calculated volume = 32.50 Å³/atom
space-group type = Pm-3m (221)
crystal system = cubic

***

The winner here is P, beating the second structure by 0.633 eV/atom.

***

--- P ---
Computed, not measured: an optimized crystal structure of NaLiSn3 at the PBE level of DFT.

Cell: 5.9837 9.8191 9.1601 Å, 98.91 90.00 90.00°
Fractional coordinates of all 20 atoms:
Na 0.3758 0.2817 0.3764
Sn 0.5985 0.6296 0.2194
Li 0.6405 0.3155 0.0538
Li 0.1405 0.1845 0.9462
Sn 0.1718 0.4690 0.1108
Na 0.8758 0.2183 0.6236
Sn 0.8282 0.5310 0.8892
Sn 0.6343 0.9318 0.3682
Sn 0.4015 0.3704 0.7806
Li 0.3595 0.6845 0.9462
Sn 0.1343 0.5682 0.6318
Sn 0.6718 0.0310 0.8892
Sn 0.3282 0.9690 0.1108
Na 0.1242 0.7817 0.3764
Sn 0.0985 0.8704 0.7806
Na 0.6242 0.7183 0.6236
Sn 0.3657 0.0682 0.6318
Li 0.8595 0.8155 0.0538
Sn 0.8657 0.4318 0.3682
Sn 0.9015 0.1296 0.2194

Output
calculated volume = 26.59 Å³/atom
space-group type = P2_1/c (14)
crystal system = monoclinic

***

--- Q ---
Computed, not measured: an optimized crystal structure of NaLiSn3 at the PBE level of DFT.

Cell: 5.1298 5.1298 5.1298 Å, 90.00 90.00 90.00°
Fractional coordinates of all 5 atoms:
Na 0.5000 0.5000 0.5000
Sn 0.0000 0.0000 0.5000
Sn 0.5000 0.0000 0.0000
Sn 0.0000 0.5000 0.0000
Li 0.0000 0.0000 0.0000

Output
calculated volume = 27.00 Å³/atom
space-group type = Pm-3m (221)
crystal system = cubic

***

The winner here is P, beating the second structure by 0.198 eV/atom.

***

--- P ---
Computed, not measured: an optimized crystal structure of Na3Li2Sn3 at the PBE level of DFT.

Cell: 3.2255 8.4214 8.4214 Å, 120.00 90.00 90.00°
Fractional coordinates of all 8 atoms:
Sn 0.5000 0.6053 0.0000
Li 0.0000 0.6667 0.3333
Li 0.0000 0.3333 0.6667
Na 0.0000 0.0000 0.2510
Na 0.0000 0.2510 0.0000
Sn 0.5000 0.0000 0.6053
Sn 0.5000 0.3947 0.3947
Na 0.0000 0.7490 0.7490

Output
calculated volume = 24.76 Å³/atom
space-group type = P-62m (189)
crystal system = hexagonal

***

--- Q ---
Computed, not measured: an optimized crystal structure of Na3Li2Sn3 at the PBE level of DFT.

Cell: 4.9095 4.6675 8.8878 Å, 104.77 106.03 90.00°
Fractional coordinates of all 8 atoms:
Na 0.8650 0.3644 0.7300
Sn 0.5000 0.5000 0.0000
Li 0.7529 0.7523 0.5058
Li 0.2471 0.2477 0.4942
Sn 0.6421 0.1425 0.2842
Na 0.1350 0.6356 0.2700
Sn 0.3579 0.8575 0.7158
Na 0.0000 0.0000 0.0000

Output
calculated volume = 23.59 Å³/atom
space-group type = C2/m (12)
crystal system = monoclinic

***

The winner here is P, beating the second structure by 0.021 eV/atom.